A plane-wave DFT calculation with GGA-PBE was carried out for crystalline SrPdS2 at its relaxed geometry.

Values from the calculation:
VASP energy	-0.34284	Ry per atom
E_form (uncorrected)	-0.882	eV per atom
magnetic moment	0.00	μB/cell

abc: 5.470 5.470 13.997
angles: 90.00 90.00 90.00
Space group I-42d (No. 122)
Unique sites:
Sr  0.000  0.000  0.000 [4 per cell]
Pd  0.000  0.000  0.500 [4 per cell]
S  0.159  0.250  0.625 [8 per cell]